Entry from Alexandria via LeMat-Bulk: a relaxed structure of Th7Sb2Ru2 (GGA-PBE).

Total magnetization = 0.00 μB/cell
Volume = 34.87 Å³/atom
Space group = C2/m (12)
N(E_F) = 15.12 states/eV per cell
Energy relative to the elements, uncorrected = -0.0796 eV per atom

a = 7.9097 Å, b = 7.1904 Å, c = 7.1904 Å
α = 106.90°, β = 96.77°, γ = 96.77°
Positions (direct):
Th1 0.2000 0.9279 0.4653
Th2 0.8000 0.5347 0.0721
Th3 0.8000 0.0721 0.5347
Th4 0.2000 0.4653 0.9279
Th5 0.0000 0.0000 0.0000
Th6 0.7886 0.5761 0.5761
Th7 0.2114 0.4239 0.4239
Sb1 0.5000 0.2861 0.7139
Sb2 0.5000 0.7139 0.2861
Ru1 0.8654 0.2698 0.2698
Ru2 0.1346 0.7302 0.7302

***

Entry from Alexandria via LeMat-Bulk: a relaxed structure of YAuSe2 (GGA-PBE).

Total magnetization = 0.00 μB/cell
Volume = 24.25 Å³/atom
Space group = Ama2 (40)
N(E_F) = 0.00 states/eV per cell
Energy relative to the elements, uncorrected = -1.1433 eV per atom

a = 3.9087 Å, b = 7.8897 Å, c = 6.5852 Å
α = 89.99°, β = 107.23°, γ = 90.00°
Positions (direct):
Y1 0.3552 0.1719 0.7548
Y2 0.3312 0.6718 0.7545
Au1 0.1475 0.4219 0.3613
Au2 0.1475 0.9220 0.3613
Se1 0.5662 0.6720 0.3886
Se2 0.9195 0.9218 0.9078
Se3 0.7560 0.1720 0.3888
Se4 0.9195 0.4219 0.9078

***

Entry from Alexandria via LeMat-Bulk: a relaxed structure of PmYGa2Rh2 (GGA-PBE).

Total magnetization = 0.00 μB/cell
Volume = 20.37 Å³/atom
Raw total energy = -36.78 eV per cell
Space group = P-3m1 (164)
N(E_F) = 5.05 states/eV per cell

a = 4.4010 Å, b = 4.4010 Å, c = 7.2853 Å
α = 90.00°, β = 90.00°, γ = 120.00°
Positions (direct):
Pm1 0.0000 0.0000 0.0000
Y1 0.0000 0.0000 0.5000
Ga1 0.6667 0.3333 0.7370
Ga2 0.3333 0.6667 0.2630
Rh1 0.6667 0.3333 0.2640
Rh2 0.3333 0.6667 0.7360

***

Entry from Alexandria via LeMat-Bulk: a relaxed structure of Cs3TbBi2Se6 (GGA-PBE).

Total magnetization = 0.00 μB/cell
Volume = 34.47 Å³/atom
Space group = C2/m (12)
N(E_F) = 0.00 states/eV per cell
Energy relative to the elements, uncorrected = -1.0996 eV per atom

a = 7.5562 Å, b = 7.5562 Å, c = 8.7351 Å
α = 98.29°, β = 98.29°, γ = 119.99°
Positions (direct):
Cs1 0.1690 0.8310 0.5000
Cs2 0.8310 0.1690 0.5000
Cs3 0.5000 0.5000 0.5000
Tb1 0.0000 0.0000 0.0000
Bi1 0.3336 0.6664 0.0000
Bi2 0.6664 0.3336 0.0000
Se1 0.9370 0.6102 0.8107
Se2 0.7365 0.7365 0.1900
Se3 0.0630 0.3898 0.1893
Se4 0.6102 0.9370 0.8107
Se5 0.2635 0.2635 0.8100
Se6 0.3898 0.0630 0.1893

***

Entry from Alexandria via LeMat-Bulk: a relaxed structure of Co2HRuRh (GGA-PBE).

E above lowest polymorph = 0.00 eV/f.u.
Total magnetization = 2.76 μB/cell
Volume = 10.40 Å³/atom
Space group = P4/mmm (123)
N(E_F) = 5.59 states/eV per cell

a = 3.7415 Å, b = 3.7415 Å, c = 3.7158 Å
α = 90.00°, β = 90.00°, γ = 90.00°
Positions (direct):
Ru1 0.0000 0.0000 0.5000
Rh1 0.5000 0.5000 0.5000
H1 0.0000 0.0000 0.0000
Co1 0.0000 0.5000 0.0000
Co2 0.5000 0.0000 0.0000

***

Entry from Alexandria via LeMat-Bulk: a relaxed structure of Hg6S4IBr3 (GGA-PBE).

Total magnetization = 0.00 μB/cell
Volume = 29.24 Å³/atom
Space group = Pbam (55)
N(E_F) = 7.32 states/eV per cell
Energy relative to the elements, uncorrected = -0.2235 eV per atom

a = 4.4854 Å, b = 13.4935 Å, c = 13.5291 Å
α = 90.00°, β = 90.00°, γ = 90.00°
Positions (direct):
Hg1 0.5000 0.3339 0.9087
Hg2 0.5000 0.6661 0.0913
Hg3 0.5000 0.8339 0.5913
Hg4 0.5000 0.1661 0.4087
Hg5 0.5000 0.9089 0.3355
Hg6 0.5000 0.0911 0.6645
Hg7 0.5000 0.5911 0.8355
Hg8 0.5000 0.4089 0.1645
Hg9 0.0000 0.6515 0.3475
Hg10 0.0000 0.3485 0.6525
Hg11 0.0000 0.1515 0.1525
Hg12 0.0000 0.8485 0.8475
S1 0.5000 0.2560 0.0697
S2 0.5000 0.7440 0.9303
S3 0.5000 0.7560 0.4303
S4 0.5000 0.2440 0.5697
S5 0.5000 0.0698 0.2569
S6 0.5000 0.9302 0.7431
S7 0.5000 0.4302 0.7569
S8 0.5000 0.5698 0.2431
I1 0.0000 0.5000 0.5000
I2 0.0000 0.0000 0.0000
Br1 0.0000 0.5000 0.0000
Br2 0.0000 0.0000 0.5000
Br3 0.0000 0.2014 0.7982
Br4 0.0000 0.7986 0.2018
Br5 0.0000 0.7014 0.7018
Br6 0.0000 0.2986 0.2982

***

Entry from Alexandria via LeMat-Bulk: a relaxed structure of ZnGe2Rh2 (GGA-PBE).

E above lowest polymorph = 0.63 eV/f.u.
Total magnetization = 0.00 μB/cell
Volume = 16.42 Å³/atom
Space group = I4/mmm (139)
N(E_F) = 2.60 states/eV per cell

a = 3.7007 Å, b = 3.7007 Å, c = 6.5422 Å
α = 73.57°, β = 73.57°, γ = 90.00°
Positions (direct):
Ge1 0.7500 0.2500 0.5000
Ge2 0.2500 0.7500 0.5000
Rh1 0.3882 0.3882 0.2236
Rh2 0.6118 0.6118 0.7764
Zn1 0.0000 0.0000 0.0000

***

Entry from Alexandria via LeMat-Bulk: a relaxed structure of AlTeW2 (GGA-PBE).

E above lowest polymorph = 1.33 eV/f.u.
Total magnetization = 0.00 μB/cell
Volume = 17.40 Å³/atom
Space group = I-4m2 (119)
N(E_F) = 3.87 states/eV per cell
Energy relative to the elements, uncorrected = 0.6238 eV per atom

a = 4.9580 Å, b = 4.9580 Å, c = 4.9580 Å
α = 130.10°, β = 130.10°, γ = 73.25°
Positions (direct):
Te1 0.7500 0.2500 0.5000
Al1 0.5000 0.5000 0.0000
W1 0.0000 0.0000 0.0000
W2 0.2500 0.7500 0.5000

***

Entry from Alexandria via LeMat-Bulk: a relaxed structure of CsCa3Y (GGA-PBE).

E above lowest polymorph = 2.06 eV/f.u.
Total magnetization = 1.81 μB/cell
Volume = 42.97 Å³/atom
Space group = Pm-3m (221)
N(E_F) = 11.62 states/eV per cell

a = 5.9894 Å, b = 5.9894 Å, c = 5.9894 Å
α = 90.00°, β = 90.00°, γ = 90.00°
Positions (direct):
Cs1 0.0000 0.0000 0.0000
Y1 0.5000 0.5000 0.5000
Ca1 0.0000 0.5000 0.0000
Ca2 0.0000 0.0000 0.5000
Ca3 0.5000 0.0000 0.0000

***

Entry from Alexandria via LeMat-Bulk: a relaxed structure of Ac2TlZn4Hg3 (GGA-PBE).

Total magnetization = 0.00 μB/cell
Volume = 24.43 Å³/atom
Raw total energy = -19.41 eV per cell
Space group = P-4m2 (115)
N(E_F) = 6.49 states/eV per cell

a = 4.7443 Å, b = 4.7443 Å, c = 10.8536 Å
α = 90.00°, β = 90.00°, γ = 90.00°
Positions (direct):
Ac1 0.5000 0.0000 0.2417
Ac2 0.0000 0.5000 0.7583
Tl1 0.5000 0.5000 0.5000
Zn1 0.5000 0.5000 0.0000
Zn2 0.0000 0.0000 0.0000
Zn3 0.5000 0.0000 0.6368
Zn4 0.0000 0.5000 0.3632
Hg1 0.0000 0.0000 0.5000
Hg2 0.5000 0.0000 0.8764
Hg3 0.0000 0.5000 0.1236

***

Entry from Alexandria via LeMat-Bulk: a relaxed structure of GaCu5Au2 (GGA-PBE).

Total magnetization = 0.00 μB/cell
Volume = 13.91 Å³/atom
Raw total energy = -30.50 eV per cell
Space group = I4/mmm (139)
N(E_F) = 3.38 states/eV per cell

a = 4.3271 Å, b = 4.3271 Å, c = 6.6833 Å
α = 108.89°, β = 108.89°, γ = 90.00°
Positions (direct):
Ga1 0.0000 0.0000 0.0000
Cu1 0.5000 0.5000 0.0000
Cu2 0.8878 0.3878 0.7757
Cu3 0.3878 0.8878 0.7757
Cu4 0.1122 0.6122 0.2243
Cu5 0.6122 0.1122 0.2243
Au1 0.7481 0.7481 0.4962
Au2 0.2519 0.2519 0.5038

***

Entry from Alexandria via LeMat-Bulk: a relaxed structure of RbCaSeBr2 (GGA-PBE).

E above lowest polymorph = 0.00 eV/f.u.
Total magnetization = 1.01 μB/cell
Volume = 38.04 Å³/atom
Space group = P4/mmm (123)
N(E_F) = 4.83 states/eV per cell
Energy relative to the elements, uncorrected = -1.4349 eV per atom

a = 5.7556 Å, b = 5.7556 Å, c = 5.7409 Å
α = 90.00°, β = 90.00°, γ = 90.00°
Positions (direct):
Ca1 0.0000 0.0000 0.0000
Se1 0.0000 0.0000 0.5000
Br1 0.0000 0.5000 0.0000
Br2 0.5000 0.0000 0.0000
Rb1 0.5000 0.5000 0.5000